The following is a PBE+U calculation of crystalline NiAuF2 at its relaxed geometry, from the Alexandria database.

abc: 9.2193 9.2193 9.2193
angles: 18.30 18.30 18.30
Positions (direct):
Ni 0.0000 0.0000 0.0000
Au 0.5000 0.5000 0.5000
F 0.3726 0.3726 0.3726
F 0.6274 0.6274 0.6274

Output
V   67.5 Å³/cell
D(E_F)   0.3 states/eV per cell
Energy above the most stable polymorph in this dataset   0.000 eV/atom
Total magnetic moment   2.00 μB/f.u.
SG   R-3m
VASP energy   -15.3 eV/f.u.